Entry 1:
Compound: TiInIr
Source: the Alexandria database
Functional: PBE-GGA
Structure: relaxed

Values from the calculation:
DOS(E_F) (states/eV/f.u.): 2.0
Formation enthalpy at 0 K (kJ/mol of atoms): -47.06
M_tot (μB per cell): 0.0

Cell: 5.9172 5.9392 6.5666 Å, 90.00 93.68 90.00°
Space group C2/m (No. 12)
Asymmetric unit:
1 Ti 0.0000 0.2486 0.0000 (multiplicity 4)
2 In 0.2343 0.0000 0.6415 (multiplicity 4)
3 Ir 0.2407 0.5000 0.7806 (multiplicity 4)

---

Entry 2:
Compound: CsErGe2I8
Source: the Alexandria database
Functional: PBE-GGA
Structure: relaxed

Values from the calculation:
ΔE_f (raw) (kJ per mole of atoms): -79.0
DOS(E_F) (states/eV/f.u.): 0.0
M_tot (μB per cell): 0.0

Cell: 7.2242 7.8103 11.0425 Å, 94.34 91.70 96.54°
Space group P-1 (No. 2)
Asymmetric unit:
1 Cs 0.0000 0.0000 0.0000 (multiplicity 1)
2 Er 0.0000 0.0000 0.5000 (multiplicity 1)
3 Ge 0.4349 0.5500 0.3087 (multiplicity 2)
4 I 0.2264 0.6902 0.4936 (multiplicity 2)
5 I 0.2343 0.1661 0.3144 (multiplicity 2)
6 I 0.2511 0.6021 0.1042 (multiplicity 2)
7 I 0.2599 0.1600 0.7096 (multiplicity 2)

---

no.,total DFT energy (no corrections) (eV/atom)
1,-6.99
2,-3.07